# 1
This record from the Alexandria database describes a crystal of FeIrSe2 relaxed with PBEsol. The functional is meta-GGA SCAN.

```
FeIrSe2
1.0
3.036 0.000 0.000
-1.518 2.629 0.000
0.000 0.000 22.214
Fe Ir Se
3 3 6
Cartesian
0.000 0.000 0.000
0.000 1.753 14.809
1.518 0.876 7.405
0.000 0.000 11.107
0.000 1.753 3.702
1.518 0.876 18.511
0.000 0.000 5.715
0.000 0.000 16.499
0.000 1.753 9.095
0.000 1.753 20.524
1.518 0.876 1.690
1.518 0.876 13.119
```

The energy relative to the lowest polymorph listed for this composition is 0.4388 eV/atom. The value obtained for the uncorrected formation energy is 0.392 eV per atom.

=====

# 2
This record from the Alexandria database describes a crystal of Fe2IrSe relaxed with PBEsol. The functional is meta-GGA SCAN.

```
Fe2IrSe
1.0
2.771 0.000 0.000
0.000 3.777 0.000
-1.045 0.000 5.010
Fe Ir Se
2 1 1
Cartesian
-0.037 0.000 1.268
1.762 0.000 3.742
1.385 1.889 0.000
0.863 1.889 2.505
```

The value obtained for the uncorrected formation energy is 0.247 eV per atom.

=====

# 3
This record from the Alexandria database describes a crystal of FeIrSe2 relaxed with PBEsol. The functional is meta-GGA SCAN.

```
FeIrSe2
1.0
3.049 0.000 0.000
0.000 3.049 0.000
0.000 0.000 6.239
Fe Ir Se
1 1 2
Cartesian
0.000 0.000 0.000
0.000 0.000 3.120
1.525 1.525 1.464
1.525 1.525 4.776
```

The energy relative to the lowest polymorph listed for this composition is 0.5318 eV/atom. The value obtained for the uncorrected formation energy is 0.485 eV per atom.

=====

# 4
This record from the Alexandria database describes a crystal of FeIrSe2 relaxed with PBEsol. The functional is meta-GGA SCAN.

```
FeIrSe2
1.0
2.905 0.000 0.000
0.000 2.905 0.000
0.000 0.000 7.531
Fe Ir Se
1 1 2
Cartesian
0.000 0.000 0.000
1.452 1.452 1.806
0.000 0.000 3.374
1.452 1.452 6.239
```

The energy relative to the lowest polymorph listed for this composition is 0.2590 eV/atom. The value obtained for the uncorrected formation energy is 0.213 eV per atom.